# 1
The following is a PBE calculation of a relaxed structure of Sr3Ca5F12, from the Alexandria database.

Unit cell a=14.560 b=14.560 c=14.560 alpha=90.00 beta=90.00 gamma=90.00
Space group Ia-3d (No. 230)
One atom of each set of equivalent atoms:
1 Sr 0.000 0.250 0.125 x24
2 Ca 0.000 0.000 0.000 x16
3 Ca 0.000 0.250 0.375 x24
4 F 0.007 0.046 0.656 x96

Computed properties:
- Formation energy without anion corrections: -3354 meV per atom
- Density of states at the Fermi level: 42.4 states/eV per cell
- Magnetic moment: 0.4 μB/f.u.


# 2
The following is a PBE calculation of a relaxed structure of Sr3CaF, from the Alexandria database.

Unit cell a=5.760 b=5.760 c=5.760 alpha=90.00 beta=90.00 gamma=90.00
Space group Pm-3m (No. 221)
One atom of each set of equivalent atoms:
1 Sr 0.000 0.000 0.500 x3
2 Ca 0.500 0.500 0.500 x1
3 F 0.000 0.000 0.000 x1

Computed properties:
- Formation energy without anion corrections: -1005 meV per atom
- Density of states at the Fermi level: 4.3 states/eV per cell
- Magnetic moment: 0.0 μB/f.u.


# 3
The following is a PBE calculation of a relaxed structure of Sr3CaF, from the Alexandria database.

Unit cell a=7.177 b=7.177 c=7.177 alpha=90.00 beta=90.00 gamma=90.00
Space group Pm-3m (No. 221)
One atom of each set of equivalent atoms:
1 Sr 0.000 0.000 0.500 x3
2 Ca 0.000 0.000 0.000 x1
3 F 0.500 0.500 0.500 x1

Computed properties:
- Formation energy without anion corrections: 196 meV per atom
- Density of states at the Fermi level: 6.1 states/eV per cell
- Magnetic moment: 0.0 μB/f.u.


# 4
The following is a PBE calculation of a relaxed structure of SrCa3F8, from the Alexandria database.

Unit cell a=5.601 b=5.601 c=5.601 alpha=90.00 beta=90.00 gamma=90.00
Space group Pm-3m (No. 221)
One atom of each set of equivalent atoms:
1 Sr 0.000 0.000 0.000 x1
2 Ca 0.000 0.500 0.500 x3
3 F 0.256 0.256 0.256 x8

Computed properties:
- Formation energy without anion corrections: -3934 meV per atom
- Density of states at the Fermi level: 0.0 states/eV per cell
- Magnetic moment: 0.0 μB/f.u.


> Among the records above, which one has the highest formation energy without anion corrections?

number 3


> Which of these has the highest formation energy without anion corrections?

number 3


> Look up the density of states at the Fermi level of the fourth one.

0.0 states/eV per cell